## w
## PmZnTe (PBE)

Data for an optimized crystal structure of PmZnTe.

Geometry as extended XYZ:
```
3
Lattice="0.000 3.613 3.613 3.613 0.000 3.613 3.613 3.613 0.000" Properties=species:S:1:pos:R:3 pbc="T T T"
Pm 0.000 0.000 0.000
Te 1.807 1.807 1.807
Zn 5.420 5.420 5.420
```

=====

## x
## PmZnTe (PBE)

Data for an optimized crystal structure of PmZnTe.

Geometry as extended XYZ:
```
3
Lattice="0.241 1.584 4.654 -4.048 0.038 2.800 -0.453 -3.198 3.714" Properties=species:S:1:pos:R:3 pbc="T T T"
Pm -1.065 -0.394 2.792
Te -3.195 -1.182 8.376
Zn 0.000 0.000 0.000
```

=====

Last place for stability: x